## RbVBr2 (PBE)

Data for a geometry-optimized RbVBr2 structure.

## Properties
Distance to the lowest polymorph of the same formula, eV per atom: 0.0000

Unit cell a=8.481 b=8.481 c=8.481 alpha=133.30 beta=133.30 gamma=68.19
Fractional coordinates of all 8 atoms:
Rb  0.000  0.000  0.000
Rb  0.750  0.250  0.500
V  0.250  0.750  0.500
V  0.500  0.500  0.000
Br  0.227  0.625  0.102
Br  0.375  0.477  0.602
Br  0.523  0.125  0.898
Br  0.875  0.773  0.398



## Rb3V2Br9 (PBE)

Data for a geometry-optimized Rb3V2Br9 structure.

## Properties
Distance to the lowest polymorph of the same formula, eV per atom: 0.0128

Unit cell a=9.971 b=9.971 c=9.971 alpha=80.58 beta=80.58 gamma=80.58
Fractional coordinates of all 28 atoms:
Rb  0.092  0.750  0.408
Rb  0.250  0.592  0.908
Rb  0.408  0.092  0.750
Rb  0.592  0.908  0.250
Rb  0.750  0.408  0.092
Rb  0.908  0.250  0.592
V  0.169  0.169  0.169
V  0.331  0.331  0.331
V  0.669  0.669  0.669
V  0.831  0.831  0.831
Br  0.062  0.900  0.734
Br  0.092  0.408  0.250
Br  0.100  0.266  0.938
Br  0.234  0.400  0.562
Br  0.250  0.092  0.408
Br  0.266  0.938  0.100
Br  0.400  0.562  0.234
Br  0.408  0.250  0.092
Br  0.438  0.766  0.600
Br  0.562  0.234  0.400
Br  0.592  0.750  0.908
Br  0.600  0.438  0.766
Br  0.734  0.062  0.900
Br  0.750  0.908  0.592
Br  0.766  0.600  0.438
Br  0.900  0.734  0.062
Br  0.908  0.592  0.750
Br  0.938  0.100  0.266



- Number 2 is which compound?
  Rb3V2Br9



- Number 1 is which compound?
  RbVBr2



- Which of these has the highest distance to the lowest polymorph of the same formula?
  Rb3V2Br9